Computed, not measured: an optimized crystal structure of Sr2NiO at the GGA+U level of DFT.

**Final energy**: -3.4774 eV per atom
**V**: 399.9 Å³ per cell
**Magnetic moment**: 0.00 μB per formula unit

Lattice parameters (Å, degrees): 6.8688 6.8688 8.4762 90.00 90.00 90.00
Positions (direct):
Sr1 0.1886 0.2500 0.1250
Sr2 0.2500 0.6886 0.3750
Sr3 0.2500 0.8114 0.8750
Sr4 0.3114 0.2500 0.6250
Sr5 0.6886 0.7500 0.6250
Sr6 0.7500 0.1886 0.8750
Sr7 0.7500 0.3114 0.3750
Sr8 0.8114 0.7500 0.1250
Ni1 0.0000 0.0000 0.5000
Ni2 0.0000 0.5000 0.7500
Ni3 0.5000 0.0000 0.2500
Ni4 0.5000 0.5000 0.0000
O1 0.0000 0.0000 0.0000
O2 0.0000 0.5000 0.2500
O3 0.5000 0.0000 0.7500
O4 0.5000 0.5000 0.5000